# 1
Density functional theory data (PBE-GGA) for a relaxed PrZrPt crystal.

Its energy above the most stable polymorph in this dataset is 0 meV/atom. The calculation puts the energy of formation at -0.801 eV/atom.

Cell lengths 4.736, 4.736, 6.891 Å; angles 90.00, 90.00, 90.00 degrees
Positions (direct):
Pt: 0.500 0.000 0.696
Pt: 0.000 0.500 0.304
Zr: 0.000 0.000 0.500
Zr: 0.500 0.500 0.500
Pr: 0.000 0.500 0.878
Pr: 0.500 0.000 0.122

=====

# 2
Density functional theory data (PBE-GGA) for a relaxed PrZrPt2 crystal.

The calculation puts the energy of formation at -0.983 eV/atom.

Cell lengths 3.396, 3.396, 7.436 Å; angles 90.00, 90.00, 90.00 degrees
Positions (direct):
Pt: 0.000 0.000 0.203
Pt: 0.000 0.000 0.797
Pr: 0.500 0.500 0.500
Zr: 0.500 0.500 0.000

=====

# 3
Density functional theory data (PBE-GGA) for a relaxed PrZrPt2 crystal.

The calculation puts the energy of formation at -0.909 eV/atom.

Cell lengths 4.161, 4.161, 6.786 Å; angles 72.14, 72.14, 60.00 degrees
Positions (direct):
Pt: 0.735 0.735 0.796
Pt: 0.265 0.265 0.204
Zr: 0.000 0.000 0.000
Pr: 0.500 0.500 0.500

=====

# 4
Density functional theory data (PBE-GGA) for a relaxed PrZrPt4 crystal.

The calculation puts the energy of formation at -0.847 eV/atom.

Cell lengths 5.438, 5.438, 5.438 Å; angles 60.00, 60.00, 60.00 degrees
Positions (direct):
Pt: 0.625 0.625 0.126
Pt: 0.625 0.625 0.625
Pt: 0.625 0.126 0.625
Pt: 0.126 0.625 0.625
Pr: 0.000 0.000 0.000
Zr: 0.250 0.250 0.250

=====

# 5
Density functional theory data (PBE-GGA) for a relaxed PrZrPt crystal.

Its energy above the most stable polymorph in this dataset is 202 meV/atom. The calculation puts the energy of formation at -0.599 eV/atom.

Cell lengths 3.505, 3.505, 6.500 Å; angles 105.64, 105.64, 90.00 degrees
Positions (direct):
Pr: 0.007 0.007 0.013
Zr: 0.297 0.297 0.593
Pt: 0.697 0.697 0.394

=====

# 6
Density functional theory data (PBE-GGA) for a relaxed Pr3Pu crystal.

Its energy above the most stable polymorph in this dataset is 14 meV/atom. The calculation puts the energy of formation at 0.158 eV/atom.

Cell lengths 5.136, 5.136, 5.136 Å; angles 90.00, 90.00, 90.00 degrees
Each line ends with the local moment (μB).
Positions (direct):
Pr: 0.000 0.500 0.500  0.06
Pr: 0.500 0.000 0.500  0.06
Pr: 0.500 0.500 0.000  0.06
Pu: 0.000 0.000 0.000  5.56